No. 1
# Cs2KNaBi | Alexandria | GGA-PBE | optimized geometry
# Total DFT energy (no corrections)   -1.712 eV per atom
# Space-group type   P4/mmm, No. 123
# ρ   2.4 Mg/m³
# Energy relative to the lowest polymorph listed for this composition   0.0000 eV/atom
data_Cs2KNaBi
_chemical_formula_sum 'Cs2 K1 Na1 Bi1'
_symmetry_space_group_name_H-M 'P 1'
_symmetry_Int_Tables_number 1
_cell_length_a 7.7477
_cell_length_b 7.7477
_cell_length_c 6.1164
_cell_angle_alpha 90.00
_cell_angle_beta 90.00
_cell_angle_gamma 90.00
loop_
_symmetry_equiv_pos_as_xyz
'x,y,z'
loop_
_atom_site_label
_atom_site_type_symbol
_atom_site_fract_x
_atom_site_fract_y
_atom_site_fract_z
Cs1 Cs 0.0000 0.5000 0.0000
Cs2 Cs 0.5000 0.0000 0.0000
K1 K 0.0000 0.0000 0.5000
Na1 Na 0.5000 0.5000 0.5000
Bi1 Bi 0.5000 0.5000 0.0000

No. 2
# Cs2HoBSe4 | Alexandria | GGA-PBE | optimized geometry
# Total DFT energy (no corrections)   -4.401 eV per atom
# Space-group type   Fddd, No. 70
# ρ   4.2 Mg/m³
# Uncorrected formation energy   -1038 meV/atom
data_Cs2HoBSe4
_chemical_formula_sum 'Cs4 Ho2 B2 Se8'
_symmetry_space_group_name_H-M 'P 1'
_symmetry_Int_Tables_number 1
_cell_length_a 15.1652
_cell_length_b 13.4513
_cell_length_c 8.2094
_cell_angle_alpha 85.23
_cell_angle_beta 62.12
_cell_angle_gamma 32.65
loop_
_symmetry_equiv_pos_as_xyz
'x,y,z'
loop_
_atom_site_label
_atom_site_type_symbol
_atom_site_fract_x
_atom_site_fract_y
_atom_site_fract_z
Cs1 Cs 0.0530 0.0530 0.6970
Cs2 Cs 0.3030 0.3030 0.9470
Cs3 Cs 0.6970 0.6970 0.0530
Cs4 Cs 0.9470 0.9470 0.3030
Ho1 Ho 0.1250 0.1250 0.1250
Ho2 Ho 0.8750 0.8750 0.8750
B1 B 0.3750 0.3750 0.3750
B2 B 0.6250 0.6250 0.6250
Se1 Se 0.0575 0.5937 0.5219
Se2 Se 0.3270 0.5219 0.5937
Se3 Se 0.4063 0.9425 0.6730
Se4 Se 0.4781 0.6730 0.9425
Se5 Se 0.5219 0.3270 0.0575
Se6 Se 0.5937 0.0575 0.3270
Se7 Se 0.6730 0.4781 0.4063
Se8 Se 0.9425 0.4063 0.4781

No. 3
# Rb2CdAuCl | Alexandria | GGA-PBE | optimized geometry
# Total DFT energy (no corrections)   -1.897 eV per atom
# Space-group type   P4/mmm, No. 123
# ρ   3.6 Mg/m³
# Uncorrected formation energy   -302 meV/atom
data_Rb2CdAuCl
_chemical_formula_sum 'Rb2 Cd1 Au1 Cl1'
_symmetry_space_group_name_H-M 'P 1'
_symmetry_Int_Tables_number 1
_cell_length_a 6.6250
_cell_length_b 6.6250
_cell_length_c 5.3559
_cell_angle_alpha 90.00
_cell_angle_beta 90.00
_cell_angle_gamma 90.00
loop_
_symmetry_equiv_pos_as_xyz
'x,y,z'
loop_
_atom_site_label
_atom_site_type_symbol
_atom_site_fract_x
_atom_site_fract_y
_atom_site_fract_z
Rb1 Rb 0.0000 0.5000 0.0000
Rb2 Rb 0.5000 0.0000 0.0000
Cd1 Cd 0.0000 0.0000 0.5000
Au1 Au 0.5000 0.5000 0.0000
Cl1 Cl 0.5000 0.5000 0.5000

Question: Which formula does entry 1 have?
Answer: Cs2KNaBi